{"formula": "Ba6Bi2AuI3", "functional": "PBE", "state": "relaxed", "rho_g_cm3": 5.41, "magmom_total_mub_per_fu": 1.0, "crystal_system": "monoclinic", "raw_formation_energy_ev_per_atom": -1.194, "cell": [[11.1355, -2.5221, 0.0000], [11.1355, 2.5221, 0.0000], [-2.7852, 0.0000, 9.9395]], "species": ["Ba", "Ba", "Ba", "Ba", "Ba", "Ba", "Bi", "Bi", "Au", "I", "I", "I"], "frac_coords": [[0.0011, 0.0011, 0.2253], [0.3269, 0.3269, 0.4329], [0.3457, 0.3457, 0.9082], [0.6543, 0.6543, 0.0918], [0.6731, 0.6731, 0.5671], [0.9989, 0.9989, 0.7747], [0.1628, 0.1628, 0.3286], [0.8372, 0.8372, 0.6714], [0.5000, 0.5000, 0.0000], [0.1719, 0.1719, 0.8341], [0.5000, 0.5000, 0.5000], [0.8281, 0.8281, 0.1659]]}


{"formula": "K2LiSnCl6", "functional": "PBE", "state": "relaxed", "rho_g_cm3": 2.28, "magmom_total_mub_per_fu": 0.0, "crystal_system": "trigonal", "raw_formation_energy_ev_per_atom": -1.519, "cell": [[3.6994, 2.1358, 12.7878], [-3.6994, 2.1358, 12.7878], [0.0000, -4.2717, 12.7878]], "species": ["K", "K", "K", "K", "Li", "Li", "Sn", "Sn", "Cl", "Cl", "Cl", "Cl", "Cl", "Cl", "Cl", "Cl", "Cl", "Cl", "Cl", "Cl"], "frac_coords": [[0.1091, 0.1091, 0.1091], [0.3100, 0.3100, 0.3100], [0.6900, 0.6900, 0.6900], [0.8909, 0.8909, 0.8909], [0.4112, 0.4112, 0.4112], [0.5888, 0.5888, 0.5888], [0.0000, 0.0000, 0.0000], [0.5000, 0.5000, 0.5000], [0.1508, 0.6175, 0.6175], [0.2171, 0.2171, 0.7001], [0.2171, 0.7001, 0.2171], [0.2999, 0.7829, 0.7829], [0.3825, 0.3825, 0.8492], [0.3825, 0.8492, 0.3825], [0.6175, 0.1508, 0.6175], [0.6175, 0.6175, 0.1508], [0.7001, 0.2171, 0.2171], [0.7829, 0.2999, 0.7829], [0.7829, 0.7829, 0.2999], [0.8492, 0.3825, 0.3825]]}


{"formula": "NpGa2Au8", "functional": "PBE", "state": "relaxed", "rho_g_cm3": 15.19, "magmom_total_mub_per_fu": 4.1, "crystal_system": "triclinic", "total_energy_ev_per_atom": -4.2417, "cell": [[4.3819, 0.0000, 0.0000], [-2.1008, 7.0861, 0.0000], [-0.5766, -3.6840, 6.8748]], "species": ["Np", "Ga", "Ga", "Au", "Au", "Au", "Au", "Au", "Au", "Au", "Au"], "frac_coords": [[0.0000, 0.0000, 0.0000], [0.2893, 0.5301, 0.2797], [0.7107, 0.4699, 0.7203], [0.1482, 0.1830, 0.4626], [0.1704, 0.3730, 0.8847], [0.2988, 0.6712, 0.6968], [0.4865, 0.9093, 0.2564], [0.5135, 0.0907, 0.7436], [0.7012, 0.3288, 0.3032], [0.8296, 0.6270, 0.1153], [0.8518, 0.8170, 0.5374]]}